Entry from the Alexandria database: an optimized crystal structure of La3BeIr (GGA-PBE).

As for the magnetic moment: 0.0 Bohr magnetons per cell. The calculation puts the calculated total energy at -5.375 eV per atom. The value obtained for the density of states at the Fermi level is 1.615 states/eV/atom. For the formation energy, the calculation gives 99 meV per atom. The space group is Pm-3m, No. 221.

Cell lengths 5.582, 5.582, 5.582 Å; angles 90.00, 90.00, 90.00 degrees
Positions (direct):
La1 0.000 0.000 0.500
La2 0.000 0.500 0.000
La3 0.500 0.000 0.000
Be1 0.500 0.500 0.500
Ir1 0.000 0.000 0.000

=====

Entry from the Alexandria database: an optimized crystal structure of KSe3 (GGA-PBE).

As for the magnetic moment: 0.0 Bohr magnetons per cell. The calculation puts the calculated total energy at -3.359 eV per atom. The energy relative to the elements, uncorrected comes out at -45.46 kJ/mol of atoms. The space group is C2, No. 5.

Cell lengths 6.763, 6.763, 7.988 Å; angles 95.80, 95.80, 49.23 degrees
Positions (direct):
K1 0.095 0.095 0.272
K2 0.905 0.905 0.728
Se1 0.238 0.117 0.684
Se2 0.333 0.406 0.274
Se3 0.401 0.393 0.984
Se4 0.594 0.667 0.726
Se5 0.607 0.599 0.016
Se6 0.883 0.762 0.316

=====

> The lowest calculated total energy belongs to which entry?

La3BeIr

=====

> magnetic moment of number 2 (KSe3)?

0.0 Bohr magnetons per cell